(1)
Here is a relaxed structure of MnGaCo2N from Alexandria. Energies are from GGA-PBE.

The structure in CIF format:
```
data_MnGaCo2N
_cell_length_a 3.764
_cell_length_b 3.764
_cell_length_c 3.755
_cell_angle_alpha 90.00
_cell_angle_beta 90.00
_cell_angle_gamma 90.00
_symmetry_space_group_name_H-M 'P 1'
_symmetry_Int_Tables_number 1
loop_
_symmetry_equiv_pos_as_xyz
'x,y,z'
loop_
_atom_site_label
_atom_site_fract_x
_atom_site_fract_y
_atom_site_fract_z
Mn1 0.000 0.000 0.000
Ga1 0.500 0.500 0.000
Co1 0.000 0.500 0.500
Co2 0.500 0.000 0.500
N1 0.000 0.000 0.500
```

Computed properties:
- Formation energy (no corrections): -0.195 eV/atom
- Symmetry: P4/mmm (123)

(2)
Here is a relaxed structure of UCo2Tc from Alexandria. Energies are from GGA-PBE.

The structure in CIF format:
```
data_UCo2Tc
_cell_length_a 4.486
_cell_length_b 4.486
_cell_length_c 4.486
_cell_angle_alpha 56.66
_cell_angle_beta 56.66
_cell_angle_gamma 56.66
_symmetry_space_group_name_H-M 'P 1'
_symmetry_Int_Tables_number 1
loop_
_symmetry_equiv_pos_as_xyz
'x,y,z'
loop_
_atom_site_label
_atom_site_fract_x
_atom_site_fract_y
_atom_site_fract_z
U1 0.000 0.000 0.000
Co1 0.275 0.275 0.275
Co2 0.725 0.725 0.725
Tc1 0.500 0.500 0.500
```

Computed properties:
- ΔE_f: 0.107 eV per atom
- E above lowest polymorph: 280.3 meV per atom
- Symmetry: R-3m (166)

(3)
Here is a relaxed structure of AcEuIn from Alexandria. Energies are from GGA-PBE.

The structure in CIF format:
```
data_AcEuIn
_cell_length_a 5.599
_cell_length_b 5.599
_cell_length_c 3.897
_cell_angle_alpha 90.00
_cell_angle_beta 90.00
_cell_angle_gamma 120.00
_symmetry_space_group_name_H-M 'P 1'
_symmetry_Int_Tables_number 1
loop_
_symmetry_equiv_pos_as_xyz
'x,y,z'
loop_
_atom_site_label
_atom_site_fract_x
_atom_site_fract_y
_atom_site_fract_z
Ac1 0.000 0.000 0.000
Eu1 0.667 0.333 0.425
In1 0.333 0.667 0.636
```

Computed properties:
- ΔE_f: -0.229 eV per atom
- E above lowest polymorph: 43.7 meV per atom
- Symmetry: P3m1 (156)

(4)
Here is a relaxed structure of Tb2Y4Sc from Alexandria. Energies are from GGA-PBE.

The structure in CIF format:
```
data_Tb2Y4Sc
_cell_length_a 6.677
_cell_length_b 8.762
_cell_length_c 8.779
_cell_angle_alpha 82.05
_cell_angle_beta 67.68
_cell_angle_gamma 67.60
_symmetry_space_group_name_H-M 'P 1'
_symmetry_Int_Tables_number 1
loop_
_symmetry_equiv_pos_as_xyz
'x,y,z'
loop_
_atom_site_label
_atom_site_fract_x
_atom_site_fract_y
_atom_site_fract_z
Tb1 0.000 0.000 0.000
Tb2 0.116 0.972 0.530
Tb3 0.429 0.500 0.501
Tb4 0.618 0.029 0.469
Y1 0.419 0.239 0.227
Y2 0.468 0.733 0.743
Y3 0.492 0.173 0.829
Y4 0.495 0.826 0.171
Y5 0.885 0.762 0.772
Y6 0.943 0.269 0.256
Y7 0.987 0.341 0.670
Y8 0.999 0.660 0.329
Sc1 0.127 0.523 0.970
Sc2 0.620 0.477 0.029
```

Computed properties:
- ΔE_f: 0.186 eV per atom
- Symmetry: P1 (1)

(5)
Here is a relaxed structure of ScMnSe2 from Alexandria. Energies are from GGA-PBE.

The structure in CIF format:
```
data_ScMnSe2
_cell_length_a 4.757
_cell_length_b 4.757
_cell_length_c 4.757
_cell_angle_alpha 60.00
_cell_angle_beta 60.00
_cell_angle_gamma 60.00
_symmetry_space_group_name_H-M 'P 1'
_symmetry_Int_Tables_number 1
loop_
_symmetry_equiv_pos_as_xyz
'x,y,z'
loop_
_atom_site_label
_atom_site_fract_x
_atom_site_fract_y
_atom_site_fract_z
Sc1 0.000 0.000 0.000
Mn1 0.750 0.750 0.750
Se1 0.250 0.250 0.250
Se2 0.500 0.500 0.500
```

Computed properties:
- E above lowest polymorph: 922.9 meV per atom
- Formation energy (no corrections): -0.076 eV/atom
- Symmetry: F-43m (216)

(6)
Here is a relaxed structure of Cd4AgHg2 from Alexandria. Energies are from GGA-PBE.

The structure in CIF format:
```
data_Cd4AgHg2
_cell_length_a 7.560
_cell_length_b 7.560
_cell_length_c 7.560
_cell_angle_alpha 107.82
_cell_angle_beta 107.82
_cell_angle_gamma 112.83
_symmetry_space_group_name_H-M 'P 1'
_symmetry_Int_Tables_number 1
loop_
_symmetry_equiv_pos_as_xyz
'x,y,z'
loop_
_atom_site_label
_atom_site_fract_x
_atom_site_fract_y
_atom_site_fract_z
Cd1 0.110 0.706 0.747
Cd2 0.113 0.209 0.753
Cd3 0.294 0.041 0.404
Cd4 0.456 0.360 0.247
Cd5 0.637 0.890 0.596
Cd6 0.640 0.887 0.096
Cd7 0.791 0.544 0.904
Cd8 0.959 0.363 0.253
Ag1 0.000 0.000 0.000
Ag2 0.750 0.250 0.500
Hg1 0.257 0.625 0.132
Hg2 0.375 0.507 0.632
Hg3 0.493 0.125 0.868
Hg4 0.875 0.743 0.368
```

Computed properties:
- ΔE_f: 0.044 eV per atom
- E above lowest polymorph: 0.0 meV per atom
- Symmetry: I-42d (122)

(7)
Here is a relaxed structure of Ta3Ga7 from Alexandria. Energies are from GGA-PBE.

The structure in CIF format:
```
data_Ta3Ga7
_cell_length_a 7.576
_cell_length_b 7.576
_cell_length_c 5.845
_cell_angle_alpha 97.04
_cell_angle_beta 97.04
_cell_angle_gamma 29.24
_symmetry_space_group_name_H-M 'P 1'
_symmetry_Int_Tables_number 1
loop_
_symmetry_equiv_pos_as_xyz
'x,y,z'
loop_
_atom_site_label
_atom_site_fract_x
_atom_site_fract_y
_atom_site_fract_z
Ta1 0.000 0.000 0.000
Ta2 0.189 0.189 0.613
Ta3 0.811 0.811 0.387
Ga1 0.000 0.000 0.500
Ga2 0.205 0.205 0.106
Ga3 0.393 0.393 0.701
Ga4 0.407 0.407 0.202
Ga5 0.593 0.593 0.798
Ga6 0.607 0.607 0.299
Ga7 0.795 0.795 0.894
```

Computed properties:
- ΔE_f: -0.104 eV per atom
- Symmetry: C2/m (12)

(8)
Here is a relaxed structure of AcTbLuTl from Alexandria. Energies are from GGA-PBE.

The structure in CIF format:
```
data_AcTbLuTl
_cell_length_a 5.603
_cell_length_b 5.603
_cell_length_c 5.603
_cell_angle_alpha 60.00
_cell_angle_beta 60.00
_cell_angle_gamma 60.00
_symmetry_space_group_name_H-M 'P 1'
_symmetry_Int_Tables_number 1
loop_
_symmetry_equiv_pos_as_xyz
'x,y,z'
loop_
_atom_site_label
_atom_site_fract_x
_atom_site_fract_y
_atom_site_fract_z
Ac1 0.000 0.000 0.000
Tb1 0.750 0.750 0.750
Lu1 0.250 0.250 0.250
Tl1 0.500 0.500 0.500
```

Computed properties:
- ΔE_f: 0.084 eV per atom
- Symmetry: F-43m (216)

| no. | total magnetization (μB/f.u.) |
| --- | --- |
| 1 | 0.56 |
| 2 | 0.81 |
| 3 | 7.12 |
| 4 | 0.00 |
| 5 | 3.95 |
| 6 | 0.00 |
| 7 | 0.00 |
| 8 | 1.14 |